# 1
Tm6ThCo3: optimized geometry, PBE.

a b c (Å): 7.2049 8.2534 8.2534
angles (deg): 91.96 90.00 90.00
Atoms (fractional coordinates):
Tm (0.0492, 0.7305, 0.7210)
Tm (0.5492, 0.7210, 0.7305)
Tm (0.2984, 0.5006, 0.0002)
Tm (0.7984, 0.0002, 0.5006)
Tm (0.2987, 0.9986, 0.0014)
Tm (0.5490, 0.3334, 0.6666)
Tm (0.0490, 0.6666, 0.3334)
Tm (0.7987, 0.0014, 0.9986)
Tm (0.2984, 0.9998, 0.4994)
Tm (0.7984, 0.4994, 0.9998)
Tm (0.0492, 0.2790, 0.2695)
Tm (0.5492, 0.2695, 0.2790)
Th (0.0494, 0.3243, 0.6757)
Th (0.5494, 0.6757, 0.3243)
Co (0.5472, 0.0305, 0.7490)
Co (0.0472, 0.7490, 0.0305)
Co (0.2986, 0.4998, 0.5002)
Co (0.7986, 0.5002, 0.4998)
Co (0.0472, 0.9695, 0.2510)
Co (0.5472, 0.2510, 0.9695)

For the density of states at the Fermi level, the calculation gives 0.99 states/eV per atom. The energy relative to the elements comes out at -0.078 eV/atom. The energy is -5.63 eV per atom.



# 2
SiTcSb2: optimized geometry, PBE.

a b c (Å): 4.1075 4.0944 5.1750
angles (deg): 67.31 90.00 90.00
Atoms (fractional coordinates):
Sb (0.0000, 0.9747, 0.9248)
Sb (0.5000, 0.2703, 0.3421)
Si (0.0000, 0.6807, 0.4827)
Tc (0.5000, 0.5742, 0.7504)

Its uncorrected formation energy is 0.158 eV/atom. For the density of states at the Fermi level, the calculation gives 0.70 states/eV per atom. The energy is -5.85 eV per atom.



# 3
Sr2WBr: optimized geometry, PBE.

a b c (Å): 9.8587 9.8587 9.8587
angles (deg): 21.92 21.92 21.92
Atoms (fractional coordinates):
Sr (0.9990, 0.9990, 0.9990)
Sr (0.5010, 0.5010, 0.5010)
Br (0.7500, 0.7500, 0.7500)
W (0.2500, 0.2500, 0.2500)

Its uncorrected formation energy is 0.278 eV/atom. For the density of states at the Fermi level, the calculation gives 0.71 states/eV per atom. The energy is -4.22 eV per atom. The excess energy over the best structure of this formula in the dataset is 0.104 eV/atom.



# 4
Y2OsAu: optimized geometry, PBE.

a b c (Å): 4.8783 4.8783 4.8783
angles (deg): 60.00 60.00 60.00
Atoms (fractional coordinates):
Au (0.5000, 0.5000, 0.5000)
Os (0.7500, 0.7500, 0.7500)
Y (0.0000, 0.0000, 0.0000)
Y (0.2500, 0.2500, 0.2500)

For the density of states at the Fermi level, the calculation gives 1.11 states/eV per atom. The energy relative to the elements comes out at 0.011 eV/atom. The energy is -6.85 eV per atom.



# 5
CaTlTe2SeF: optimized geometry, PBE.

a b c (Å): 4.2650 6.1496 6.9390
angles (deg): 81.91 84.09 83.88
Atoms (fractional coordinates):
Tl (0.0894, 0.9095, 0.8341)
Te (0.1707, 0.2011, 0.2270)
Te (0.6382, 0.4699, 0.9964)
Ca (0.6774, 0.5183, 0.4950)
Se (0.6164, 0.0217, 0.4881)
F (0.1594, 0.5652, 0.5640)

Its uncorrected formation energy is -1.278 eV/atom. The energy is -3.95 eV per atom. The excess energy over the best structure of this formula in the dataset is 0.000 eV/atom.



# 6
Na3Sm2InS6: optimized geometry, PBE.

a b c (Å): 6.9276 6.9276 7.1211
angles (deg): 99.31 99.31 120.02
Atoms (fractional coordinates):
Na (0.1649, 0.8351, 0.5000)
Na (0.8351, 0.1649, 0.5000)
Na (0.5000, 0.5000, 0.5000)
Sm (0.3331, 0.6669, 0.0000)
Sm (0.6669, 0.3331, 0.0000)
In (0.0000, 0.0000, 0.0000)
S (0.9235, 0.6016, 0.7704)
S (0.7547, 0.7547, 0.2269)
S (0.0765, 0.3984, 0.2296)
S (0.6016, 0.9235, 0.7704)
S (0.2453, 0.2453, 0.7731)
S (0.3984, 0.0765, 0.2296)

Its uncorrected formation energy is -1.473 eV/atom. For the density of states at the Fermi level, the calculation gives 0.00 states/eV per atom. The energy is -4.88 eV per atom.



# 7
Li2NpCN4: optimized geometry, PBE.

a b c (Å): 4.7918 4.7918 5.9301
angles (deg): 113.45 113.45 90.87
Atoms (fractional coordinates):
Li (0.2446, 0.7446, 0.5000)
Li (0.7446, 0.2446, 0.5000)
Np (0.9066, 0.9066, 0.0000)
C (0.2849, 0.2849, 0.0000)
N (0.0821, 0.4407, 0.0000)
N (0.4407, 0.0821, 0.0000)
N (0.0834, 0.0834, 0.3728)
N (0.7105, 0.7105, 0.6272)

Its uncorrected formation energy is -0.494 eV/atom. For the density of states at the Fermi level, the calculation gives 0.33 states/eV per atom. The energy is -7.91 eV per atom.



# 8
Hg4Pb: optimized geometry, PBE.

a b c (Å): 6.0545 6.0545 6.0545
angles (deg): 90.00 90.00 90.00
Atoms (fractional coordinates):
Pb (0.5000, 0.5000, 0.5000)
Hg (0.0000, 0.0000, 0.0000)
Hg (0.5000, 0.0000, 0.5000)
Hg (0.0000, 0.5000, 0.5000)
Hg (0.5000, 0.5000, 0.0000)

For the density of states at the Fermi level, the calculation gives 0.81 states/eV per atom. The energy relative to the elements comes out at 0.161 eV/atom. The energy is -0.82 eV per atom. The excess energy over the best structure of this formula in the dataset is 0.130 eV/atom.